1.
Entry from the Alexandria database: crystalline NaSr2CaAu4 at its relaxed geometry (PBE).

abc: 5.299 5.299 9.201
angles: 73.26 73.26 60.00
Atoms (fractional coordinates):
Na1 0.000 0.000 0.000
Au1 0.620 0.620 0.139
Au2 0.380 0.380 0.861
Au3 0.869 0.869 0.394
Au4 0.131 0.131 0.606
Sr1 0.745 0.745 0.765
Sr2 0.255 0.255 0.235
Ca1 0.500 0.500 0.500

## Properties
Total energy: -25.1 eV/f.u.
Formation enthalpy at 0 K: -0.658 eV per atom
D(E_F): 3.955 states/eV per cell

***

2.
Entry from the Alexandria database: crystalline Be2FeSb at its relaxed geometry (PBE).

abc: 7.720 7.720 7.720
angles: 22.39 22.39 22.39
Last column: magnetic moment on the atom in μB.
Atoms (fractional coordinates):
Fe1 0.250 0.250 0.250  2.35
Be1 0.989 0.989 0.989  -0.05
Be2 0.511 0.511 0.511  -0.05
Sb1 0.750 0.750 0.750  0.03

## Properties
Energy relative to the elements, uncorrected: 0.677 eV per atom
Total energy: -17.3 eV/f.u.
D(E_F): 2.347 states/eV per cell

***

3.
Entry from the Alexandria database: crystalline AcPrScGa at its relaxed geometry (PBE).

abc: 5.436 5.436 5.436
angles: 60.00 60.00 60.00
Atoms (fractional coordinates):
Ga1 0.250 0.250 0.250
Sc1 0.500 0.500 0.500
Ac1 0.750 0.750 0.750
Pr1 0.000 0.000 0.000

## Properties
Total energy: -18.1 eV/f.u.
Formation enthalpy at 0 K: 0.043 eV per atom
D(E_F): 7.072 states/eV per cell

***

4.
Entry from the Alexandria database: crystalline Ac4Ag2Ir at its relaxed geometry (PBE).

abc: 4.533 6.839 8.340
angles: 100.63 105.77 90.00
Atoms (fractional coordinates):
Ag1 0.766 0.636 0.531
Ag2 0.234 0.364 0.469
Ac1 0.845 0.174 0.691
Ac2 0.155 0.826 0.309
Ac3 0.424 0.732 0.848
Ac4 0.576 0.268 0.152
Ir1 0.000 0.000 0.000

## Properties
Relative energy among the computed polymorphs: 0 meV per atom
Total energy: -33.7 eV/f.u.
Formation enthalpy at 0 K: -0.380 eV per atom
D(E_F): 4.546 states/eV per cell

***

5.
Entry from the Alexandria database: crystalline SrGa2PdPt at its relaxed geometry (PBE).

abc: 4.477 4.477 6.032
angles: 111.78 111.78 90.00
Atoms (fractional coordinates):
Pt1 0.250 0.750 0.500
Pd1 0.750 0.250 0.500
Sr1 0.000 0.000 0.000
Ga1 0.368 0.368 0.735
Ga2 0.632 0.632 0.265

## Properties
Total energy: -22.8 eV/f.u.
Formation enthalpy at 0 K: -0.766 eV per atom
D(E_F): 2.775 states/eV per cell

***

6.
Entry from the Alexandria database: crystalline LiLaTm at its relaxed geometry (PBE).

abc: 3.757 3.757 6.703
angles: 106.28 106.28 90.00
Atoms (fractional coordinates):
Tm1 0.315 0.315 0.629
Li1 0.675 0.675 0.350
La1 0.010 0.010 0.021

## Properties
Relative energy among the computed polymorphs: 0 meV per atom
Total energy: -11.0 eV/f.u.
Formation enthalpy at 0 K: 0.089 eV per atom
D(E_F): 3.281 states/eV per cell

***

7.
Entry from the Alexandria database: crystalline ScMoAu2 at its relaxed geometry (PBE).

abc: 3.006 4.098 5.782
angles: 90.00 90.00 90.00
Last column: magnetic moment on the atom in μB.
Atoms (fractional coordinates):
Au1 0.000 0.000 0.493  0.00
Au2 0.000 0.000 0.007  0.00
Sc1 0.500 0.500 0.750  0.00
Mo1 0.500 0.500 0.250  0.14

## Properties
Relative energy among the computed polymorphs: 15 meV per atom
Total energy: -24.3 eV/f.u.
Formation enthalpy at 0 K: -0.138 eV per atom
D(E_F): 3.358 states/eV per cell

***

8.
Entry from the Alexandria database: crystalline Pm4SmAs5 at its relaxed geometry (PBE).

abc: 4.237 5.983 11.197
angles: 105.50 100.91 90.00
Atoms (fractional coordinates):
Pm1 0.200 0.200 0.400
Pm2 0.800 0.800 0.600
Pm3 0.600 0.600 0.200
Pm4 0.400 0.400 0.800
As1 0.401 0.901 0.801
As2 0.000 0.500 0.000
As3 0.200 0.700 0.400
As4 0.800 0.300 0.600
As5 0.599 0.099 0.199
Sm1 0.000 0.000 0.000

## Properties
Total energy: -62.2 eV/f.u.
Formation enthalpy at 0 K: -1.528 eV per atom
D(E_F): 1.671 states/eV per cell